# PBE PaCd5Hg4, optimized geometry
# Raw total energy = -14.722 eV per cell
# Volume = 23.98 Å³ per atom
# Formation enthalpy at 0 K = 0.556 eV per formula unit
# Magnetic moment = 0.11 μB per atom
data_PaCd5Hg4
_space_group_name_H-M_alt 'P 1'
_space_group_IT_number 1
_cell_length_a 11.7204
_cell_length_b 11.7204
_cell_length_c 6.8866
_cell_angle_alpha 103.33
_cell_angle_beta 103.33
_cell_angle_gamma 15.11
loop_
_space_group_symop_operation_xyz
'x,y,z'
loop_
_atom_site_label
_atom_site_fract_x
_atom_site_fract_y
_atom_site_fract_z
Pa1 0.0000 0.0000 0.0000
Cd1 0.0000 0.0000 0.5000
Cd2 0.1992 0.1992 0.6083
Cd3 0.3969 0.3969 0.1838
Cd4 0.6031 0.6031 0.8162
Cd5 0.8008 0.8008 0.3917
Hg1 0.2010 0.2010 0.1131
Hg2 0.4003 0.4003 0.6735
Hg3 0.5997 0.5997 0.3265
Hg4 0.7990 0.7990 0.8869